# Th2Ge3Ru5

A relaxed structure of Th2Ge3Ru5 (PBE, Alexandria).

Cell: 12.8356 12.8356 6.5776 Å, 90.00 90.00 160.91°
Last column: nearest neighbours and their distance in Å.
Element x y z (fractional)
Th1 0.0125 0.9875 0.5000  5 Ge 2.95-3.11, 6 Ru 2.97-3.28
Th2 0.3249 0.6751 0.4862  9 Ru 2.95-3.31, 4 Ge 3.14-3.26
Th3 0.6751 0.3249 0.9862  9 Ru 2.95-3.31, 4 Ge 3.14-3.26
Th4 0.9875 0.0125 0.0000  5 Ge 2.95-3.11, 6 Ru 2.97-3.28
Ge1 0.1125 0.8875 0.7311  6 Ru 2.47-2.75
Ge2 0.2724 0.7276 0.9797  7 Ru 2.46-2.58
Ge3 0.4429 0.5571 0.7172  4 Ru 2.48-2.55
Ge4 0.5571 0.4429 0.2172  4 Ru 2.48-2.55
Ge5 0.7276 0.2724 0.4797  7 Ru 2.46-2.58
Ge6 0.8875 0.1125 0.2311  6 Ru 2.47-2.75
Ru1 0.1044 0.8956 0.1477  3 Ge 2.48-2.75, 1 Ru 2.72
Ru2 0.2066 0.7934 0.2729  3 Ge 2.55-2.58, 2 Ru 2.68-2.72
Ru3 0.2093 0.7907 0.6807  4 Ge 2.47-2.55, 1 Ru 2.68
Ru4 0.3694 0.6306 0.9828  4 Ge 2.46-2.72
Ru5 0.4435 0.5565 0.3305  3 Ge 2.54-2.64
Ru6 0.5565 0.4435 0.8305  3 Ge 2.54-2.64
Ru7 0.6306 0.3694 0.4828  4 Ge 2.46-2.72
Ru8 0.7907 0.2093 0.1807  4 Ge 2.47-2.55, 1 Ru 2.68
Ru9 0.7934 0.2066 0.7729  3 Ge 2.55-2.58, 2 Ru 2.68-2.72
Ru10 0.8956 0.1044 0.6477  3 Ge 2.48-2.75, 1 Ru 2.72

Results
Its formation energy is -0.418 eV per atom.